Material: LiTa2Tl2S6
Method: DFT, PBE
State: optimized geometry

The total moment comes out at 0.00 μB/atom. The calculation puts the total energy at -5.861 eV/atom.

The structure belongs to space group C2/m (No. 12); the cell edges are 6.3553, 10.6732 and 7.7851 Å and the angles 90.00°, 102.48° and 90.00°. The distinct sites, in fractional coordinates, are Li at (0.0000, 0.0000, 0.0000), Ta at (0.0000, 0.3462, 0.0000), Tl at (0.0000, 0.1683, 0.5000), S at (0.1901, 0.5000, 0.2066) and S at (0.2267, 0.1762, 0.1794).

---

Material: Mg2BeAs
Method: DFT, PBE
State: optimized geometry

The total moment comes out at 0.00 μB/atom. The calculation puts the energy above the lowest structure with this stoichiometry at 0.081 eV per atom. The formation energy comes out at -0.10 eV/atom. The calculation puts the total energy at -2.988 eV/atom.

The structure belongs to space group R3m (No. 160, hexagonal axes); the cell edges are 3.7148, 3.7148 and 19.5485 Å and the angles 90.00°, 90.00° and 120.00°. The distinct sites, in fractional coordinates, are Mg at (0.0000, 0.0000, 0.0000), Mg at (0.0000, 0.0000, 0.2156), Be at (0.0000, 0.0000, 0.4521) and As at (0.0000, 0.0000, 0.7691).

---

Material: Mg2ZnHgN
Method: DFT, PBE
State: optimized geometry

The total moment comes out at 0.00 μB/atom. The calculation puts the total energy at -2.829 eV/atom.

The structure belongs to space group P4/mmm (No. 123); the cell edges are 4.3054, 4.3054 and 4.3315 Å and the angles 90.00°, 90.00° and 90.00°. The distinct sites, in fractional coordinates, are Mg at (0.0000, 0.5000, 0.0000), Zn at (0.0000, 0.0000, 0.5000), Hg at (0.5000, 0.5000, 0.5000) and N at (0.0000, 0.0000, 0.0000).